i | # BaSr4 (PBE, optimized geometry)
data_BaSr4
_space_group_name_H-M_alt 'I m -3 m'
_space_group_IT_number 229
_space_group_name_Hall '-I 4 2 3'
_cell_length_a 8.831
_cell_length_b 8.831
_cell_length_c 8.831
_cell_angle_alpha 90.00
_cell_angle_beta 90.00
_cell_angle_gamma 90.00
loop_
_atom_site_label
_atom_site_type_symbol
_atom_site_fract_x
_atom_site_fract_y
_atom_site_fract_z
_atom_site_occupancy
Ba1 Ba 0.000 0.000 0.000 1
Sr1 Sr 0.250 0.250 0.250 1
# * DOS at the Fermi energy: 18.05 states/eV/cell
# * volume: 689 Å³ per cell



ii | # BaSr4 (PBE, optimized geometry)
data_BaSr4
_space_group_name_H-M_alt 'P 1 2/c 1'
_space_group_IT_number 13
_cell_length_a 7.832
_cell_length_b 10.889
_cell_length_c 7.630
_cell_angle_alpha 90.00
_cell_angle_beta 117.20
_cell_angle_gamma 90.00
loop_
_space_group_symop_operation_xyz
'x,y,z'
'-x,-y,-z'
'-x,y,-z+1/2'
'x,-y,z+1/2'
loop_
_atom_site_label
_atom_site_type_symbol
_atom_site_fract_x
_atom_site_fract_y
_atom_site_fract_z
_atom_site_occupancy
Ba1 Ba 0.000 0.139 0.250 1
Sr1 Sr 0.251 0.467 0.511 1
Sr2 Sr 0.347 0.177 0.928 1
# * DOS at the Fermi energy: 11.46 states/eV/cell
# * volume: 579 Å³ per cell



Ordering by calculated energy gives the sequence ii, i, with the first entry being the most stable.



i | # Ba4Sr (PBE, optimized geometry)
data_Ba4Sr
_space_group_name_H-M_alt 'R -3 m'
_space_group_IT_number 166
_space_group_name_Hall '-R 3 2"'
_cell_length_a 7.0273
_cell_length_b 7.0273
_cell_length_c 21.4728
_cell_angle_alpha 90.00
_cell_angle_beta 90.00
_cell_angle_gamma 120.00
loop_
_atom_site_label
_atom_site_type_symbol
_atom_site_fract_x
_atom_site_fract_y
_atom_site_fract_z
_atom_site_occupancy
Ba1 Ba 0.0000 0.0000 0.1003 1
Ba2 Ba 0.0000 0.0000 0.3009 1
Sr1 Sr 0.0000 0.0000 0.5000 1
# * DOS at the Fermi energy: 21.25 states/eV/cell
# * volume: 918 Å³ per cell



ii | # Ba4Sr (PBE, optimized geometry)
data_Ba4Sr
_space_group_name_H-M_alt 'R -3 m'
_space_group_IT_number 166
_space_group_name_Hall '-R 3 2"'
_cell_length_a 4.4382
_cell_length_b 4.4382
_cell_length_c 54.6022
_cell_angle_alpha 90.00
_cell_angle_beta 90.00
_cell_angle_gamma 120.00
loop_
_atom_site_label
_atom_site_type_symbol
_atom_site_fract_x
_atom_site_fract_y
_atom_site_fract_z
_atom_site_occupancy
Ba1 Ba 0.0000 0.0000 0.1014 1
Ba2 Ba 0.0000 0.0000 0.2997 1
Sr1 Sr 0.0000 0.0000 0.5000 1
# * DOS at the Fermi energy: 23.72 states/eV/cell
# * volume: 931 Å³ per cell



Ordering by calculated energy gives the sequence i, ii, with the first entry being the most stable.